Entry from the Alexandria database: a relaxed Co2WAu crystal (PBE).

Lattice parameters (Å, degrees): 8.877 8.877 8.877 17.81 17.81 17.81
Each line ends with the local moment (μB).
Fractional coordinates of all 4 atoms:
W 0.507 0.507 0.507  -0.12
Au 0.746 0.746 0.746  -0.01
Co 0.255 0.255 0.255  1.47
Co 0.992 0.992 0.992  1.71

Computed properties:
The calculation puts the total energy at -7.2595 eV/atom. Its space group is No. 160. As for the formation energy from the elements: 33.9 kJ/mol of atoms. For the polymorph energy (0 for the lowest one), the calculation gives 76 kJ/mol of formula units. The crystal system is trigonal. The calculation puts the volume at 14.29 Å³/atom.